KCoS2O6: relaxed, PBE+U.

a b c (Å): 5.1366 5.1366 7.1528
angles (deg): 68.96 68.96 60.00
Last column: magnetic moment on the atom in μB.
Element x y z (fractional)
K 0.0000 0.0000 0.0000  0.00
Co 0.5000 0.5000 0.5000  2.64
S 0.7468 0.7468 0.7596  -0.06
S 0.2532 0.2532 0.2404  -0.06
O 0.0736 0.5178 0.6868  -0.06
O 0.7218 0.0736 0.6868  -0.06
O 0.4822 0.2782 0.3132  -0.06
O 0.9264 0.4822 0.3132  -0.06
O 0.2782 0.9264 0.3132  -0.06
O 0.5178 0.7218 0.6868  -0.06

Output
Theoretical density = 2.882 g/cm³
SG = R-3, No. 148
DOS(E_F) = 0.390 states/eV per cell
E = -0.209 Ha/atom